(1)
This record from the Alexandria database describes Er5Ga2Bi2 after structural relaxation. The functional is GGA-PBE.

a b c (Å): 8.6843 8.6843 7.9428
angles (deg): 90.00 90.00 54.34
Last column: nearest neighbours and their distance in Å.
Positions (direct):
1 Er 0.0000 0.0000 0.0000  4 Ga 3.12-3.13, 2 Bi 3.22
2 Er 0.0431 0.7061 0.6683  3 Ga 3.00-3.06, 3 Bi 3.19-3.22
3 Er 0.2061 0.5431 0.1683  3 Ga 3.00-3.06, 3 Bi 3.19-3.22
4 Er 0.2939 0.9569 0.6683  3 Ga 3.00-3.06, 3 Bi 3.19-3.22
5 Er 0.4569 0.7939 0.1683  3 Ga 3.00-3.06, 3 Bi 3.19-3.22
6 Er 0.5000 0.5000 0.5000  4 Ga 3.12-3.13, 2 Bi 3.22
7 Er 0.5431 0.2061 0.8317  3 Ga 3.00-3.06, 3 Bi 3.19-3.22
8 Er 0.7061 0.0431 0.3317  3 Ga 3.00-3.06, 3 Bi 3.19-3.22
9 Er 0.7939 0.4569 0.8317  3 Ga 3.00-3.06, 3 Bi 3.19-3.22
10 Er 0.9569 0.2939 0.3317  3 Ga 3.00-3.06, 3 Bi 3.19-3.22
11 Ga 0.1278 0.8722 0.3734  1 Ga 2.86, 8 Er 3.00-3.13
12 Ga 0.3722 0.6278 0.8734  1 Ga 2.86, 8 Er 3.00-3.13
13 Ga 0.6278 0.3722 0.1266  1 Ga 2.86, 8 Er 3.00-3.13
14 Ga 0.8722 0.1278 0.6266  1 Ga 2.86, 8 Er 3.00-3.13
15 Bi 0.2081 0.2081 0.0000  7 Er 3.19-3.22
16 Bi 0.2919 0.2919 0.5000  7 Er 3.19-3.22
17 Bi 0.7081 0.7081 0.5000  7 Er 3.19-3.22
18 Bi 0.7919 0.7919 0.0000  7 Er 3.19-3.22

(2)
This record from the Alexandria database describes Er5GaBi2 after structural relaxation. The functional is GGA-PBE.

a b c (Å): 6.4195 6.4195 14.1199
angles (deg): 90.00 90.00 127.12
Last column: nearest neighbours and their distance in Å.
Positions (direct):
1 Er 0.0607 0.9393 0.7500  1 Ga 3.24, 2 Bi 3.26, 6 Er 3.50-3.54
2 Er 0.1227 0.8773 0.0520  1 Ga 3.02, 3 Bi 3.16-3.17, 1 Er 3.18
3 Er 0.1227 0.8773 0.4480  1 Ga 3.02, 3 Bi 3.16-3.17, 1 Er 3.18
4 Er 0.4228 0.5772 0.1027  1 Ga 3.11, 1 Bi 3.23, 1 Er 3.40
5 Er 0.4228 0.5772 0.3973  1 Ga 3.11, 1 Bi 3.23, 1 Er 3.40
6 Er 0.5772 0.4228 0.6027  1 Ga 3.11, 1 Bi 3.23, 1 Er 3.40
7 Er 0.5772 0.4228 0.8973  1 Ga 3.11, 1 Bi 3.23, 1 Er 3.40
8 Er 0.8773 0.1227 0.5520  1 Ga 3.02, 3 Bi 3.16-3.17, 1 Er 3.18
9 Er 0.8773 0.1227 0.9480  1 Ga 3.02, 3 Bi 3.16-3.17, 1 Er 3.18
10 Er 0.9393 0.0607 0.2500  1 Ga 3.24, 2 Bi 3.26, 6 Er 3.50-3.54
11 Ga 0.2214 0.7786 0.2500  5 Er 3.02-3.24
12 Ga 0.7786 0.2214 0.7500  5 Er 3.02-3.24
13 Bi 0.2969 0.7031 0.6220  6 Er 3.16-3.49, 2 Ga 3.39
14 Bi 0.2969 0.7031 0.8780  6 Er 3.16-3.49, 2 Ga 3.39
15 Bi 0.7031 0.2969 0.1220  6 Er 3.16-3.49, 2 Ga 3.39
16 Bi 0.7031 0.2969 0.3780  6 Er 3.16-3.49, 2 Ga 3.39

Number 1: energy -4.765 eV per atom, DOS(E_F) 5.6 states/eV/f.u.. Number 2: energy -4.474 eV per atom, DOS(E_F) 7.7 states/eV/f.u..